Record 1
# TbCoC | the Alexandria database | PBE | optimized geometry
data_TbCoC
_chemical_formula_sum 'Tb1 Co1 C1'
_cell_length_a 3.4530
_cell_length_b 3.4530
_cell_length_c 3.9641
_cell_angle_alpha 90.00
_cell_angle_beta 90.00
_cell_angle_gamma 120.00
_symmetry_space_group_name_H-M 'P -6 m 2'
_symmetry_Int_Tables_number 187
_symmetry_space_group_name_Hall 'P -6 2'
loop_
_atom_site_label
_atom_site_fract_x
_atom_site_fract_y
_atom_site_fract_z
Tb1 0.0000 0.0000 0.0000
Co1 0.6667 0.3333 0.5000
C1 0.3333 0.6667 0.5000
# VASP energy in eV per atom: -7.07
# Mass density in g/cm³: 9.33

---

Record 2
# Tb2CoC2 | the Alexandria database | PBE | optimized geometry
data_Tb2CoC2
_chemical_formula_sum 'Tb8 Co4 C8'
_cell_length_a 6.229
_cell_length_b 5.066
_cell_length_c 9.746
_cell_angle_alpha 90.00
_cell_angle_beta 90.00
_cell_angle_gamma 90.00
_symmetry_space_group_name_H-M 'P n m a'
_symmetry_Int_Tables_number 62
_symmetry_space_group_name_Hall '-P 2ac 2n'
loop_
_atom_site_label
_atom_site_fract_x
_atom_site_fract_y
_atom_site_fract_z
Tb1 0.015 0.250 0.220
Tb2 0.187 0.250 0.554
Co1 0.233 0.250 0.855
C1 0.030 0.750 0.240
C2 0.191 0.750 0.543
# VASP energy in eV per atom: -7.15
# Mass density in g/cm³: 8.66

---

Record 3
# TbCoC | the Alexandria database | PBE | optimized geometry
data_TbCoC
_chemical_formula_sum 'Tb4 Co4 C4'
_cell_length_a 5.701
_cell_length_b 7.215
_cell_length_c 4.676
_cell_angle_alpha 90.00
_cell_angle_beta 90.00
_cell_angle_gamma 90.00
_symmetry_space_group_name_H-M 'I m m a'
_symmetry_Int_Tables_number 74
_symmetry_space_group_name_Hall '-I 2b 2'
loop_
_atom_site_label
_atom_site_fract_x
_atom_site_fract_y
_atom_site_fract_z
Tb1 0.000 0.000 0.000
Co1 0.000 0.250 0.472
C1 0.250 0.250 0.250
# VASP energy in eV per atom: -7.10
# Mass density in g/cm³: 7.94

---

Record 4
# Tb4Co2C | the Alexandria database | PBE | optimized geometry
data_Tb4Co2C
_chemical_formula_sum 'Tb8 Co4 C2'
_cell_length_a 4.828
_cell_length_b 4.828
_cell_length_c 14.054
_cell_angle_alpha 90.00
_cell_angle_beta 90.00
_cell_angle_gamma 90.00
_symmetry_space_group_name_H-M 'I 4/m m m'
_symmetry_Int_Tables_number 139
_symmetry_space_group_name_Hall '-I 4 2'
loop_
_atom_site_label
_atom_site_fract_x
_atom_site_fract_y
_atom_site_fract_z
Tb1 0.000 0.000 0.192
Tb2 0.000 0.500 0.000
Co1 0.000 0.000 0.375
C1 0.000 0.000 0.500
# VASP energy in eV per atom: -5.93
# Mass density in g/cm³: 7.76

---

Record 5
# TbCo4C | the Alexandria database | PBE | optimized geometry
data_TbCo4C
_chemical_formula_sum 'Tb4 Co16 C4'
_cell_length_a 3.945
_cell_length_b 13.293
_cell_length_c 5.640
_cell_angle_alpha 90.00
_cell_angle_beta 90.00
_cell_angle_gamma 90.00
_symmetry_space_group_name_H-M 'C m c m'
_symmetry_Int_Tables_number 63
_symmetry_space_group_name_Hall '-C 2c 2'
loop_
_atom_site_label
_atom_site_fract_x
_atom_site_fract_y
_atom_site_fract_z
Tb1 0.000 0.102 0.250
Co1 0.000 0.120 0.750
Co2 0.000 0.296 0.024
Co3 0.000 0.500 0.000
C1 0.000 0.400 0.250
# VASP energy in eV per atom: -7.06
# Mass density in g/cm³: 9.13

---

Record 6
# Tb3CoC3 | the Alexandria database | PBE | optimized geometry
data_Tb3CoC3
_chemical_formula_sum 'Tb12 Co4 C12'
_cell_length_a 8.489
_cell_length_b 10.288
_cell_length_c 5.102
_cell_angle_alpha 90.00
_cell_angle_beta 90.00
_cell_angle_gamma 90.00
_symmetry_space_group_name_H-M 'C m c m'
_symmetry_Int_Tables_number 63
_symmetry_space_group_name_Hall '-C 2c 2'
loop_
_atom_site_label
_atom_site_fract_x
_atom_site_fract_y
_atom_site_fract_z
Tb1 0.000 0.108 0.250
Tb2 0.214 0.378 0.250
Co1 0.000 0.301 0.750
C1 0.000 0.123 0.750
C2 0.200 0.368 0.750
# VASP energy in eV per atom: -7.14
# Mass density in g/cm³: 8.52